The following is a PBE calculation of a relaxed structure of TiV2Ge, from the Alexandria database.

```
TiV2Ge
1.0
-3.504 3.504 2.561
3.504 -3.504 2.561
3.504 3.504 -2.561
Ti V Ge
2 4 2
direct
0.000 0.000 0.000
0.750 0.250 0.500
0.147 0.125 0.522
0.375 0.853 0.978
0.603 0.625 0.478
0.875 0.397 0.022
0.250 0.750 0.500
0.500 0.500 0.000
```

- VASP energy: -7.381 eV/atom
- Formation energy from the elements: 306 meV per atom